1.
Computed, not measured: crystalline AcMgAl2 at its relaxed geometry at the PBE-GGA level of DFT.

Unit cell a=4.659 b=4.659 c=17.113 alpha=90.00 beta=90.00 gamma=120.00
Positions (direct):
Ac: 0.000 0.000 0.000
Ac: 0.333 0.667 0.667
Ac: 0.667 0.333 0.333
Mg: 0.000 0.000 0.500
Mg: 0.333 0.667 0.167
Mg: 0.667 0.333 0.833
Al: 0.000 0.000 0.209
Al: 0.000 0.000 0.791
Al: 0.333 0.667 0.458
Al: 0.333 0.667 0.876
Al: 0.667 0.333 0.124
Al: 0.667 0.333 0.542

Output
Final energy: -3.489 eV per atom
SG: R-3m

2.
Computed, not measured: crystalline Sm2Zn3Cu12Ir at its relaxed geometry at the PBE-GGA level of DFT.

Unit cell a=12.631 b=12.631 c=12.631 alpha=23.62 beta=23.62 gamma=23.62
Positions (direct):
Sm: 0.144 0.144 0.144
Sm: 0.856 0.856 0.856
Zn: 0.000 0.500 0.500
Zn: 0.500 0.000 0.500
Zn: 0.500 0.500 0.000
Cu: 0.106 0.106 0.624
Cu: 0.106 0.624 0.106
Cu: 0.110 0.606 0.606
Cu: 0.376 0.894 0.894
Cu: 0.394 0.394 0.890
Cu: 0.394 0.890 0.394
Cu: 0.606 0.110 0.606
Cu: 0.606 0.606 0.110
Cu: 0.624 0.106 0.106
Cu: 0.890 0.394 0.394
Cu: 0.894 0.376 0.894
Cu: 0.894 0.894 0.376
Ir: 0.500 0.500 0.500

Output
Final energy: -3.936 eV per atom
SG: R-3m

3.
Computed, not measured: crystalline SrSm3P at its relaxed geometry at the PBE-GGA level of DFT.

Unit cell a=5.621 b=5.621 c=5.621 alpha=90.00 beta=90.00 gamma=90.00
Positions (direct):
Sr: 0.000 0.000 0.000
Sm: 0.000 0.500 0.500
Sm: 0.500 0.000 0.500
Sm: 0.500 0.500 0.000
P: 0.500 0.500 0.500

Output
Final energy: -4.665 eV per atom
SG: Pm-3m

4.
Computed, not measured: crystalline V3OsRh6 at its relaxed geometry at the PBE-GGA level of DFT.

Unit cell a=7.223 b=4.322 c=9.407 alpha=90.00 beta=109.17 gamma=90.00
Positions (direct):
V: 0.089 0.250 0.235
V: 0.302 0.250 0.032
V: 0.306 0.750 0.367
V: 0.694 0.250 0.633
V: 0.698 0.750 0.968
V: 0.911 0.750 0.765
Os: 0.097 0.750 0.566
Os: 0.903 0.250 0.434
Rh: 0.093 0.250 0.732
Rh: 0.108 0.750 0.072
Rh: 0.296 0.250 0.530
Rh: 0.299 0.750 0.866
Rh: 0.491 0.250 0.329
Rh: 0.499 0.750 0.165
Rh: 0.501 0.250 0.835
Rh: 0.509 0.750 0.671
Rh: 0.701 0.250 0.134
Rh: 0.704 0.750 0.470
Rh: 0.892 0.250 0.928
Rh: 0.907 0.750 0.268

Output
Final energy: -8.590 eV per atom
SG: P2_1/m

5.
Computed, not measured: crystalline Na3B4C2 at its relaxed geometry at the PBE-GGA level of DFT.

Unit cell a=8.547 b=7.757 c=7.757 alpha=21.01 beta=90.00 gamma=90.00
Positions (direct):
Na: 0.245 0.000 0.000
Na: 0.248 0.334 0.334
Na: 0.248 0.667 0.667
Na: 0.752 0.334 0.334
Na: 0.752 0.667 0.667
Na: 0.755 0.000 0.000
B: 0.000 0.110 0.110
B: 0.000 0.443 0.443
B: 0.000 0.777 0.777
B: 0.500 0.112 0.112
B: 0.500 0.219 0.219
B: 0.500 0.545 0.545
B: 0.500 0.785 0.785
B: 0.500 0.895 0.895
C: 0.000 0.222 0.222
C: 0.000 0.555 0.555
C: 0.000 0.889 0.889
C: 0.500 0.445 0.445

Output
Distance to the lowest polymorph of the same formula: 18 meV per atom
Final energy: -5.341 eV per atom
SG: Amm2

6.
Computed, not measured: crystalline Os2RhN at its relaxed geometry at the PBE-GGA level of DFT.

Unit cell a=6.245 b=6.245 c=5.399 alpha=90.00 beta=90.00 gamma=90.00
Positions (direct):
Os: 0.153 0.250 0.125
Os: 0.250 0.653 0.375
Os: 0.250 0.847 0.875
Os: 0.347 0.250 0.625
Os: 0.653 0.750 0.625
Os: 0.750 0.153 0.875
Os: 0.750 0.347 0.375
Os: 0.847 0.750 0.125
Rh: 0.000 0.000 0.500
Rh: 0.000 0.500 0.750
Rh: 0.500 0.000 0.250
Rh: 0.500 0.500 0.000
N: 0.000 0.000 0.000
N: 0.000 0.500 0.250
N: 0.500 0.000 0.750
N: 0.500 0.500 0.500

Output
ΔE_f (raw): 2.4 eV per formula unit
Final energy: -8.928 eV per atom
SG: I-42d

7.
Computed, not measured: crystalline BaAc2Si2 at its relaxed geometry at the PBE-GGA level of DFT.

Unit cell a=5.891 b=5.891 c=16.966 alpha=90.00 beta=90.00 gamma=90.00
Positions (direct):
Ba: 0.000 0.000 0.000
Ba: 0.500 0.500 0.500
Ac: 0.000 0.500 0.250
Ac: 0.000 0.500 0.750
Ac: 0.500 0.000 0.250
Ac: 0.500 0.000 0.750
Si: 0.000 0.000 0.184
Si: 0.000 0.000 0.816
Si: 0.500 0.500 0.316
Si: 0.500 0.500 0.684

Output
ΔE_f (raw): 0.1 eV per formula unit
Final energy: -4.185 eV per atom
SG: I4/mmm

8.
Computed, not measured: crystalline GdPu2Re at its relaxed geometry at the PBE-GGA level of DFT.

Unit cell a=3.272 b=3.272 c=9.005 alpha=90.00 beta=90.00 gamma=90.00
Positions (direct):
Gd: 0.000 0.000 0.000
Pu: 0.500 0.500 0.302
Pu: 0.500 0.500 0.698
Re: 0.000 0.000 0.500

Output
Final energy: -13.610 eV per atom
SG: P4/mmm

Q: Among the records above, which one has the lowest final energy?
A: GdPu2Re

Q: What is the final energy in the fourth record?
A: -8.590 eV per atom

Q: Look up the final energy of the seventh one.
A: -4.185 eV per atom